## ZrSeN2O (PBE)

Data for an optimized crystal structure of ZrSeN2O.

Geometry as CIF:
```
data_ZrSeN2O
_chemical_formula_sum 'Zr1 Se1 N2 O1'
_cell_length_a 4.375
_cell_length_b 4.375
_cell_length_c 3.994
_cell_angle_alpha 90.00
_cell_angle_beta 90.00
_cell_angle_gamma 90.00
_space_group_name_H-M_alt 'P 1'
_space_group_IT_number 1
_space_group_name_Hall 'P 1'
loop_
_atom_site_label
_atom_site_fract_x
_atom_site_fract_y
_atom_site_fract_z
Zr1 0.000 0.000 0.000
Se1 0.500 0.500 0.500
N1 0.000 0.500 0.000
N2 0.500 0.000 0.000
O1 0.000 0.000 0.500
```

SG: P4/mmm
Uncorrected formation energy, eV/atom: 0.34



## ZrSeN2O (PBE)

Data for an optimized crystal structure of ZrSeN2O.

Geometry as CIF:
```
data_ZrSeN2O
_chemical_formula_sum 'Zr1 Se1 N2 O1'
_cell_length_a 3.940
_cell_length_b 3.940
_cell_length_c 3.749
_cell_angle_alpha 90.00
_cell_angle_beta 90.00
_cell_angle_gamma 90.00
_space_group_name_H-M_alt 'P 1'
_space_group_IT_number 1
_space_group_name_Hall 'P 1'
loop_
_atom_site_label
_atom_site_fract_x
_atom_site_fract_y
_atom_site_fract_z
Zr1 0.000 0.000 0.000
Se1 0.500 0.500 0.500
N1 0.000 0.500 0.500
N2 0.500 0.000 0.500
O1 0.500 0.500 0.000
```

SG: P4/mmm
Uncorrected formation energy, eV/atom: 0.28